# 1
DFT (PBE-GGA) results for an optimized crystal structure of Rb2BaReAg.

* volume: 224 Å³ per cell
* uncorrected energy: -0.093 hartree per atom

Cell lengths 6.4439, 6.4439, 5.3881 Å; angles 90.00, 90.00, 90.00 degrees
Last column: nearest neighbours and their distance in Å.
Atoms (fractional coordinates):
Rb 0.0000 0.5000 0.0000  2 Re 3.22
Rb 0.5000 0.0000 0.0000  2 Re 3.22
Ba 0.0000 0.0000 0.5000  8 Rb 4.20, 4 Ag 4.56
Re 0.5000 0.5000 0.0000  2 Ag 2.69
Ag 0.5000 0.5000 0.5000  2 Re 2.69

# 2
DFT (PBE-GGA) results for an optimized crystal structure of AcLa5Er2.

* volume: 291 Å³ per cell
* uncorrected energy: -0.173 hartree per atom

Cell lengths 9.1274, 9.1274, 9.1274 Å; angles 156.58, 102.04, 82.75 degrees
Last column: nearest neighbours and their distance in Å.
Atoms (fractional coordinates):
Ac 0.0000 0.0000 0.0000  2 Ac 3.71, 4 Er 3.83, 8 La 4.07
La 0.1406 0.3674 0.7732  3 Er 3.49-3.61, 7 La 3.63-3.75
La 0.4058 0.6326 0.7732  3 Er 3.49-3.61, 7 La 3.63-3.75
La 0.5000 0.0000 0.5000  2 Er 3.50, 10 La 3.68-3.71
La 0.5942 0.3674 0.2268  3 Er 3.49-3.61, 7 La 3.63-3.75
La 0.8594 0.6326 0.2268  3 Er 3.49-3.61, 7 La 3.63-3.75
Er 0.2445 0.7445 0.5000  7 La 3.49-3.61, 2 Er 3.71, 2 Ac 3.83
Er 0.7555 0.2555 0.5000  7 La 3.49-3.61, 2 Er 3.71, 2 Ac 3.83

# 3
DFT (PBE-GGA) results for an optimized crystal structure of Sr4GePBr2.

* volume: 269 Å³ per cell
* E_form (uncorrected): -10.35 eV per formula unit

Cell lengths 8.0267, 4.3500, 8.1241 Å; angles 90.00, 108.51, 90.00 degrees
Last column: nearest neighbours and their distance in Å.
Atoms (fractional coordinates):
Sr 0.2335 0.0000 0.2087  2 P 3.02, 1 Ge 3.12
Sr 0.2439 0.5000 0.7800  1 P 3.04, 2 Ge 3.13, 2 Br 3.30
Sr 0.7561 0.5000 0.2200  1 P 3.04, 2 Ge 3.13, 2 Br 3.30
Sr 0.7665 0.0000 0.7913  2 P 3.02, 1 Ge 3.12
Ge 0.5000 0.0000 0.0000  6 Sr 3.12-3.13
P 0.0000 0.5000 0.0000  6 Sr 3.02-3.04
Br 0.0000 0.0000 0.5000  6 Sr 3.30-3.45
Br 0.5000 0.5000 0.5000  6 Sr 3.42-3.52